A plane-wave DFT calculation with PBE was carried out for a relaxed structure of KFeCuSeS2.

a = 7.5239 Å, b = 7.5239 Å, c = 9.5471 Å
α = 90.00°, β = 90.00°, γ = 152.97°
With the nearest neighbours (Å) after each atom.
Positions (direct):
K 0.2621 0.7379 0.2500  2 Se 3.31, 6 S 3.33-3.60, 2 Cu 3.39, 2 K 3.52
K 0.7379 0.2621 0.7500  2 Se 3.31, 6 S 3.33-3.60, 2 Cu 3.39, 2 K 3.52
Se 0.4293 0.5707 0.7500  2 Cu 2.39, 2 Fe 2.60
Se 0.5707 0.4293 0.2500  2 Cu 2.39, 2 Fe 2.60
Fe 0.5000 0.5000 0.0000  4 S 2.35, 2 Se 2.60
Fe 0.5000 0.5000 0.5000  4 S 2.35, 2 Se 2.60
Cu 0.0398 0.9602 0.7500  2 S 2.23, 2 Se 2.39
Cu 0.9602 0.0398 0.2500  2 S 2.23, 2 Se 2.39
S 0.8968 0.1032 0.4622  1 Cu 2.23, 2 Fe 2.35
S 0.1032 0.8968 0.5378  1 Cu 2.23, 2 Fe 2.35
S 0.1032 0.8968 0.9622  1 Cu 2.23, 2 Fe 2.35
S 0.8968 0.1032 0.0378  1 Cu 2.23, 2 Fe 2.35

## Properties
Its space group is Cmcm. As for the crystal system: orthorhombic. For the total energy, the calculation gives -0.338 Ry/atom.